Entry 1:
PBE-GGA LaEr3S6, relaxed; E_form (uncorrected) = -2127 meV per atom
1.0
11.0597 0.0000 0.0000
0.0000 3.9949 0.0000
-3.6526 0.0000 10.7182
La Er S
2 6 12
direct
0.0509 0.2500 0.1954 La
0.9491 0.7500 0.8046 La
0.1608 0.2500 0.5880 Er
0.3210 0.7500 0.9991 Er
0.4449 0.2500 0.3333 Er
0.5551 0.7500 0.6667 Er
0.6790 0.2500 0.0009 Er
0.8392 0.7500 0.4120 Er
0.0824 0.7500 0.4082 S
0.1210 0.2500 0.9630 S
0.1982 0.7500 0.7487 S
0.2696 0.7500 0.2297 S
0.3932 0.2500 0.5568 S
0.4779 0.2500 0.1108 S
0.5221 0.7500 0.8892 S
0.6068 0.7500 0.4432 S
0.7304 0.2500 0.7703 S
0.8018 0.2500 0.2513 S
0.8790 0.7500 0.0370 S
0.9176 0.2500 0.5918 S

***

Entry 2:
PBE-GGA CdAsSe2Br, relaxed; E_form (uncorrected) = 741 meV per atom; ΔE to the lowest computed polymorph = 0.550 eV/atom
1.0
5.1424 0.0000 0.0000
0.0000 5.1424 0.0000
0.0000 0.0000 5.5063
Cd As Se Br
1 1 2 1
direct
0.0000 0.0000 0.0000 Cd
0.0000 0.0000 0.5000 As
0.0000 0.5000 0.0000 Se
0.5000 0.0000 0.0000 Se
0.5000 0.5000 0.5000 Br

***

Entry 3:
PBE-GGA HfTaMoRu, relaxed; ΔH_f (0 K) = -1.6 eV/f.u.
1.0
6.4660 0.0000 0.0000
0.0000 6.4660 0.0000
0.0000 0.0000 6.4660
Hf Ta Mo Ru
4 4 4 4
direct
0.0000 0.0000 0.0000 Hf
0.0000 0.5000 0.5000 Hf
0.5000 0.0000 0.5000 Hf
0.5000 0.5000 0.0000 Hf
0.0000 0.0000 0.5000 Ta
0.0000 0.5000 0.0000 Ta
0.5000 0.0000 0.0000 Ta
0.5000 0.5000 0.5000 Ta
0.2500 0.2500 0.2500 Mo
0.2500 0.7500 0.7500 Mo
0.7500 0.2500 0.7500 Mo
0.7500 0.7500 0.2500 Mo
0.2500 0.2500 0.7500 Ru
0.2500 0.7500 0.2500 Ru
0.7500 0.2500 0.2500 Ru
0.7500 0.7500 0.7500 Ru

***

Entry 4:
PBE-GGA TlReW, relaxed; ΔH_f (0 K) = 2.1 eV/f.u.; ΔE to the lowest computed polymorph = 0.056 eV/atom
1.0
2.9816 0.0000 0.0000
-1.4908 2.5822 0.0000
0.0000 0.0000 7.0441
Tl Re W
1 1 1
direct
0.0000 0.0000 0.0000 Tl
0.3333 0.6667 0.6440 Re
0.6667 0.3333 0.3622 W

***

Going through the records in order, we get theoretical density values of 5.8 4.8 13.7 17.6 Mg/m³.
Going through the records in order, we get spin magnetization values of 0.00 0.15 0.00 0.00 μB/f.u..